# 1
Material: NaGa2AgF8
Method: DFT, PBE
State: optimized geometry

Geometry as extended XYZ:
```
12
Lattice="-2.531 4.305 -3.910 -4.251 -3.663 2.956 3.159 3.183 4.486" Properties=species:S:1:pos:R:3 pbc="T T T"
F 1.036 3.496 2.729
F -2.315 4.100 -1.476
F -0.363 2.423 0.103
F -1.412 2.167 3.749
F -2.542 0.128 1.100
F -4.330 1.858 -0.516
F -2.716 3.924 1.256
F -0.133 5.172 0.314
Na -2.242 -0.080 3.482
Ag 0.000 0.000 0.000
Ga -3.391 0.321 -0.477
Ga -1.382 3.904 0.049
```

Computed properties:
crystal system = tetragonal

# 2
Material: NaGaAg2F8
Method: DFT, PBE
State: optimized geometry

Geometry as extended XYZ:
```
12
Lattice="5.019 0.055 0.140 0.100 5.054 0.179 0.232 0.262 6.921" Properties=species:S:1:pos:R:3 pbc="T T T"
F 1.622 1.631 6.944
F 1.731 1.701 3.368
F 1.227 4.389 5.674
F 4.352 1.231 5.630
F 4.124 0.982 1.566
F 0.999 4.140 1.611
F 3.729 3.740 0.297
F 3.620 3.670 3.873
Ga 0.000 0.000 0.000
Ag 2.706 2.699 1.847
Ag 2.645 2.672 5.393
Na 0.116 0.131 3.461
```

Computed properties:
crystal system = triclinic

# 3
Material: GaAgOF2
Method: DFT, PBE
State: optimized geometry

Geometry as extended XYZ:
```
5
Lattice="4.451 0.000 0.000 0.000 4.451 0.000 0.000 0.000 4.016" Properties=species:S:1:pos:R:3 pbc="T T T"
O 0.000 0.000 2.008
Ga 2.226 2.226 2.008
F 2.226 0.000 0.000
F 0.000 2.226 0.000
Ag 0.000 0.000 0.000
```

Computed properties:
crystal system = tetragonal
excess energy over the best structure of this formula in the dataset = 864 meV/atom

# 4
Material: GaAgO2F
Method: DFT, PBE
State: optimized geometry

Geometry as extended XYZ:
```
5
Lattice="-2.732 -0.037 -3.065 1.348 -3.702 -1.157 -2.824 -1.822 2.540" Properties=species:S:1:pos:R:3 pbc="T T T"
Ga -2.104 -2.781 -0.841
O 0.674 -1.851 -0.578
O -1.366 -0.019 -1.533
F -1.412 -0.911 1.270
Ag 0.000 0.000 0.000
```

Computed properties:
crystal system = tetragonal

# 5
Material: GaAgO2F
Method: DFT, PBE
State: optimized geometry

Geometry as extended XYZ:
```
5
Lattice="3.879 0.000 0.000 0.000 3.879 0.000 0.000 0.000 3.962" Properties=species:S:1:pos:R:3 pbc="T T T"
O 1.939 0.000 0.000
O 0.000 1.939 0.000
Ga 0.000 0.000 0.000
Ag 1.939 1.939 1.981
F 0.000 0.000 1.981
```

Computed properties:
crystal system = tetragonal

# 6
Material: GaAgOF2
Method: DFT, PBE
State: optimized geometry

Geometry as extended XYZ:
```
5
Lattice="-2.284 -3.400 0.093 0.284 -0.303 -4.076 3.038 -2.031 0.363" Properties=species:S:1:pos:R:3 pbc="T T T"
F 0.142 -0.151 -2.038
F -1.142 -1.700 0.047
Ag 0.519 -2.867 -1.810
O 1.519 -1.015 0.181
Ga 0.000 0.000 0.000
```

Computed properties:
crystal system = tetragonal
excess energy over the best structure of this formula in the dataset = 0 meV/atom

no.,ΔE_f (raw) (eV/atom),raw total energy (eV/atom)
1,-2.34,-4.439
2,-1.89,-3.974
3,-0.71,-3.629
4,-0.18,-3.716
5,-1.05,-4.585
6,-1.58,-4.493